Record 1
Entry from the Alexandria database: an optimized crystal structure of Na3AuCl4 (PBE).

a b c (Å): 8.9361 9.1755 5.7077
angles (deg): 90.00 90.00 90.00
Last column: nearest neighbours and their distance in Å.
Space group Pmn2_1 (No. 31)
Symmetry-distinct sites (fractional):
Na1 0.0000 0.1202 0.0000 x2  3 Cl 2.65-2.90
Na2 0.2489 0.6751 0.0010 x4  5 Cl 2.65-2.88
Au1 0.0000 0.6519 0.5015 x2  2 Cl 2.33
Cl1 0.0000 0.1707 0.5012 x2  4 Na 2.65-2.90
Cl2 0.0000 0.8318 0.0022 x2  3 Na 2.65
Cl3 0.2395 0.3610 0.0015 x4  1 Au 2.33

Output
Energy relative to the elements, uncorrected = -1.328 eV/atom
Uncorrected energy = -50.49 eV per cell
Crystal system = orthorhombic

***

Record 2
Entry from the Alexandria database: an optimized crystal structure of NaAu3Cl (PBE).

a b c (Å): 5.1591 5.1591 5.1591
angles (deg): 90.00 90.00 90.00
Last column: nearest neighbours and their distance in Å.
Space group Pm-3m (No. 221)
Symmetry-distinct sites (fractional):
Na1 0.0000 0.0000 0.0000 x1  12 Au 3.65
Au1 0.0000 0.5000 0.5000 x3  2 Cl 2.58
Cl1 0.5000 0.5000 0.5000 x1  6 Au 2.58

Output
Energy relative to the elements, uncorrected = 0.555 eV/atom
Uncorrected energy = -10.22 eV per cell
Excess energy over the best structure of this formula in the dataset = 0.0 kJ per mole of atoms
Crystal system = cubic

***

Record 3
Entry from the Alexandria database: an optimized crystal structure of NaNi2AuCl (PBE).

a b c (Å): 4.1342 4.1342 6.5787
angles (deg): 90.00 90.00 90.00
Last column: nearest neighbours and their distance in Å.
Space group P4/mmm (No. 123)
Symmetry-distinct sites (fractional):
Na1 0.0000 0.0000 0.0000 x1  4 Au 2.92
Ni1 0.0000 0.5000 0.5000 x2  2 Cl 2.07
Au1 0.5000 0.5000 0.0000 x1  4 Na 2.92
Cl1 0.5000 0.5000 0.5000 x1  4 Ni 2.07

Output
Energy relative to the elements, uncorrected = 0.433 eV/atom
Uncorrected energy = -15.84 eV per cell
Crystal system = tetragonal

***

Record 4
Entry from the Alexandria database: an optimized crystal structure of Na2NiAuCl6 (PBE).

a b c (Å): 6.5023 6.7974 6.8723
angles (deg): 63.42 63.36 89.47
Last column: nearest neighbours and their distance in Å.
Space group P1 (No. 1)
Symmetry-distinct sites (fractional):
Na1 0.0000 0.0000 0.0000 x1  5 Cl 2.73-2.89
Na2 0.4805 0.4820 0.0231 x1  5 Cl 2.75-2.91
Ni1 0.6956 0.0957 0.5895 x1  6 Cl 2.28-2.49
Au1 0.1974 0.6004 0.5861 x1  4 Cl 2.46-2.48
Cl1 0.0497 0.3431 0.4886 x1  1 Au 2.47, 1 Ni 2.49
Cl2 0.3414 0.8392 0.7047 x1  1 Au 2.46, 1 Ni 2.49
Cl3 0.4399 0.3378 0.7072 x1  1 Ni 2.46, 1 Au 2.48
Cl4 0.5971 0.8890 0.0021 x1  1 Ni 2.29
Cl5 0.7933 0.2959 0.1787 x1  1 Ni 2.28
Cl6 0.9360 0.8430 0.4881 x1  1 Ni 2.43, 1 Au 2.46

Output
Energy relative to the elements, uncorrected = -0.917 eV/atom
Uncorrected energy = -31.95 eV per cell
Crystal system = triclinic

***

Record 5
Entry from the Alexandria database: an optimized crystal structure of Na2NpAuCl8 (PBE).

a b c (Å): 6.2028 9.2438 6.3544
angles (deg): 90.00 96.92 90.00
Last column: nearest neighbours and their distance in Å.
Space group P2/m (No. 10)
Symmetry-distinct sites (fractional):
Na1 0.0000 0.2281 0.0000 x2  6 Cl 2.80-3.04
Np1 0.5000 0.5000 0.5000 x1  6 Cl 2.52-2.55
Au1 0.5000 0.0000 0.5000 x1  2 Cl 2.33
Cl1 0.2245 0.5000 0.1684 x2  1 Np 2.55
Cl2 0.2333 0.0000 0.2075 x2  1 Au 2.33
Cl3 0.2871 0.3047 0.6603 x4  1 Np 2.52

Output
Energy relative to the elements, uncorrected = -1.334 eV/atom
Uncorrected energy = -49.64 eV per cell
Crystal system = monoclinic

***

Record 6
Entry from the Alexandria database: an optimized crystal structure of NaP2AuCl (PBE).

a b c (Å): 5.0711 5.0711 4.7699
angles (deg): 90.00 90.00 90.00
Last column: nearest neighbours and their distance in Å.
Space group P4/mmm (No. 123)
Symmetry-distinct sites (fractional):
Na1 0.0000 0.0000 0.0000 x1  2 Cl 2.38, 4 P 2.54
P1 0.0000 0.5000 0.0000 x2  2 Na 2.54
Au1 0.5000 0.5000 0.5000 x1  8 P 3.48, 4 Cl 3.59
Cl1 0.0000 0.0000 0.5000 x1  2 Na 2.38

Output
Energy relative to the elements, uncorrected = 1.133 eV/atom
Uncorrected energy = -11.60 eV per cell
Excess energy over the best structure of this formula in the dataset = 85.1 kJ per mole of atoms
Crystal system = tetragonal

***

Record 7
Entry from the Alexandria database: an optimized crystal structure of NaP2AuCl (PBE).

a b c (Å): 4.6443 4.6443 7.0931
angles (deg): 90.00 90.00 90.00
Last column: nearest neighbours and their distance in Å.
Space group P4/mmm (No. 123)
Symmetry-distinct sites (fractional):
Na1 0.0000 0.0000 0.0000 x1  4 Cl 3.28
P1 0.0000 0.5000 0.5000 x2  2 Au 2.32
Au1 0.5000 0.5000 0.5000 x1  4 P 2.32
Cl1 0.5000 0.5000 0.0000 x1  4 Na 3.28, 2 Au 3.55

Output
Energy relative to the elements, uncorrected = 0.251 eV/atom
Uncorrected energy = -16.01 eV per cell
Excess energy over the best structure of this formula in the dataset = 0.0 kJ per mole of atoms
Crystal system = tetragonal

***

Record 8
Entry from the Alexandria database: an optimized crystal structure of Na2PuAuCl8 (PBE).

a b c (Å): 6.2208 8.8678 6.3851
angles (deg): 90.00 96.63 90.00
Last column: nearest neighbours and their distance in Å.
Space group P2/m (No. 10)
Symmetry-distinct sites (fractional):
Na1 0.0000 0.2368 0.0000 x2  6 Cl 2.81-3.01
Pu1 0.5000 0.5000 0.5000 x1  6 Cl 2.56
Au1 0.5000 0.0000 0.5000 x1  2 Cl 2.34
Cl1 0.2335 0.5000 0.1629 x2  1 Pu 2.56
Cl2 0.2426 0.0000 0.2012 x2  1 Au 2.34
Cl3 0.2814 0.2920 0.6552 x4  1 Pu 2.56

Output
Energy relative to the elements, uncorrected = -1.312 eV/atom
Uncorrected energy = -50.77 eV per cell
Crystal system = monoclinic

***

Record 9
Entry from the Alexandria database: an optimized crystal structure of NaPuAuCl6 (PBE).

a b c (Å): 6.8689 6.8689 11.9655
angles (deg): 90.00 90.00 120.00
Last column: nearest neighbours and their distance in Å.
Space group P-31c (No. 163)
Symmetry-distinct sites (fractional):
Na1 0.3333 0.6667 0.2500 x2  6 Cl 2.83
Pu1 0.3333 0.6667 0.7500 x2  6 Cl 2.63
Au1 0.0000 0.0000 0.0000 x2  6 Cl 2.75
Cl1 0.0238 0.3465 0.6255 x12  1 Pu 2.63, 1 Au 2.75, 1 Na 2.83

Output
Energy relative to the elements, uncorrected = -1.293 eV/atom
Uncorrected energy = -83.28 eV per cell
Crystal system = trigonal

***

Record 10
Entry from the Alexandria database: an optimized crystal structure of Rb2NaAu2Cl6 (PBE).

a b c (Å): 14.0260 7.1444 8.0524
angles (deg): 90.00 120.90 90.00
Last column: nearest neighbours and their distance in Å.
Space group C2/m (No. 12)
Symmetry-distinct sites (fractional):
Rb1 0.2277 0.0000 0.2051 x4  7 Cl 3.35-3.73
Na1 0.0000 0.0000 0.5000 x2  6 Cl 2.78-2.99
Au1 0.0640 0.5000 0.2386 x4  3 Cl 2.36-2.46
Cl1 0.0677 0.2510 0.8050 x8  1 Au 2.46
Cl2 0.2438 0.0000 0.6451 x4  1 Au 2.36

Output
Energy relative to the elements, uncorrected = -1.068 eV/atom
Uncorrected energy = -65.28 eV per cell
Crystal system = monoclinic

***

- Look up the uncorrected energy of the second one.
  -10.22 eV per cell

***

What did the ninth record say?
Entry from the Alexandria database: an optimized crystal structure of NaPuAuCl6 (PBE).

a b c (Å): 6.8689 6.8689 11.9655
angles (deg): 90.00 90.00 120.00
Last column: nearest neighbours and their distance in Å.
Space group P-31c (No. 163)
Symmetry-distinct sites (fractional):
Na1 0.3333 0.6667 0.2500 x2  6 Cl 2.83
Pu1 0.3333 0.6667 0.7500 x2  6 Cl 2.63
Au1 0.0000 0.0000 0.0000 x2  6 Cl 2.75
Cl1 0.0238 0.3465 0.6255 x12  1 Pu 2.63, 1 Au 2.75, 1 Na 2.83

Output
Energy relative to the elements, uncorrected = -1.293 eV/atom
Uncorrected energy = -83.28 eV per cell
Crystal system = trigonal